An optimized crystal structure of YCoRh2. Source: Alexandria via LeMat-Bulk, functional GGA-PBE.

POSCAR file:
```
YCoRh2
1.0
4.032 0.000 0.000
0.000 4.032 0.000
2.016 2.016 8.867
Rh Y Co
4 2 2
direct
0.184 0.625 0.250
0.375 0.434 0.750
0.875 0.816 0.750
0.566 0.125 0.250
0.000 0.000 0.000
0.750 0.250 0.500
0.250 0.750 0.500
0.500 0.500 0.000
```

The calculation puts the density at 8.1 g cm⁻³. The value obtained for the total energy is -6.9932 eV/atom. Its space group is I-42d. The value obtained for the formation energy is 0.0750 eV/atom. The calculation puts the density of states at the Fermi level at 4.5 states/eV/f.u.